VASP calculation (meta-GGA SCAN) on a crystal of RbFeCl3 relaxed with PBEsol.

Computed properties:
Volume in Å³/atom: 23.05
Uncorrected formation energy in meV per atom: -1462

a = 4.8665 Å, b = 4.8665 Å, c = 4.8665 Å
α = 90.00°, β = 90.00°, γ = 90.00°
With the nearest neighbours (Å) after each atom.
Positions (direct):
Rb (0.0000, 0.0000, 0.0000)  12 Cl 3.44
Fe (0.5000, 0.5000, 0.5000)  6 Cl 2.43
Cl (0.0000, 0.5000, 0.5000)  2 Fe 2.43
Cl (0.5000, 0.0000, 0.5000)  2 Fe 2.43
Cl (0.5000, 0.5000, 0.0000)  2 Fe 2.43